(1)
Computed, not measured: a relaxed BiSb2Ir crystal at the PBE-GGA level of DFT.

Properties
Calculated density, g/cm3: 11.5
Magnetic moment, μB/f.u.: 0.001
Uncorrected energy, hartree per atom: -0.1761

Cell lengths 7.2039, 7.2039, 7.2039 Å; angles 90.00, 90.00, 90.00 degrees
Space group F-43m (No. 216)
Unique sites:
Bi 0.0000 0.0000 0.0000 x4
Sb 0.0000 0.0000 0.5000 x4
Sb 0.2500 0.2500 0.7500 x4
Ir 0.2500 0.2500 0.2500 x4

=====

(2)
Computed, not measured: a relaxed LiScBAu crystal at the PBE-GGA level of DFT.

Properties
Calculated density, g/cm3: 7.3
Energy above the most stable polymorph in this dataset, eV/atom: 0.1665
Magnetic moment, μB/f.u.: 0.000
Uncorrected energy, hartree per atom: -0.1680

Cell lengths 6.1949, 6.1949, 6.1949 Å; angles 90.00, 90.00, 90.00 degrees
Space group F-43m (No. 216)
Unique sites:
Li 0.0000 0.0000 0.0000 x4
Sc 0.0000 0.0000 0.5000 x4
B 0.2500 0.2500 0.2500 x4
Au 0.2500 0.2500 0.7500 x4

=====

(3)
Computed, not measured: a relaxed FeCu2Pd crystal at the PBE-GGA level of DFT.

Properties
Calculated density, g/cm3: 9.3
DFT formation energy, eV per atom: 0.059
Magnetic moment, μB/f.u.: 3.142
Uncorrected energy, hartree per atom: -0.1900

Cell lengths 5.9225, 5.9225, 5.9225 Å; angles 90.00, 90.00, 90.00 degrees
Space group F-43m (No. 216)
Unique sites:
Fe 0.0000 0.0000 0.0000 x4
Cu 0.0000 0.0000 0.5000 x4
Cu 0.2500 0.2500 0.7500 x4
Pd 0.2500 0.2500 0.2500 x4

=====

(4)
Computed, not measured: a relaxed Ba2HfAsS6 crystal at the PBE-GGA level of DFT.

Properties
Calculated density, g/cm3: 4.8
Magnetic moment, μB/f.u.: 0.003
Uncorrected energy, hartree per atom: -0.2042

Cell lengths 9.9681, 9.9681, 9.9681 Å; angles 90.00, 90.00, 90.00 degrees
Space group Fm-3m (No. 225)
Unique sites:
Ba 0.2500 0.2500 0.2500 x8
Hf 0.0000 0.0000 0.0000 x4
As 0.0000 0.0000 0.5000 x4
S 0.0000 0.0000 0.2509 x24

=====

(5)
Computed, not measured: a relaxed PmMg2F crystal at the PBE-GGA level of DFT.

Properties
Calculated density, g/cm3: 4.1
Magnetic moment, μB/f.u.: 0.040
Uncorrected energy, hartree per atom: -0.1206

Cell lengths 3.7590, 3.7590, 12.0946 Å; angles 90.00, 90.00, 90.00 degrees
Space group I4/mmm (No. 139)
Unique sites:
Pm 0.0000 0.0000 0.0000 x2
Mg 0.0000 0.5000 0.2500 x4
F 0.0000 0.0000 0.5000 x2

=====

(6)
Computed, not measured: a relaxed HoTmSi4Ni2 crystal at the PBE-GGA level of DFT.

Properties
Calculated density, g/cm3: 7.3
Magnetic moment, μB/f.u.: 0.001
Uncorrected energy, hartree per atom: -0.2227

Cell lengths 3.9468, 3.9494, 16.4047 Å; angles 90.00, 90.00, 90.00 degrees
Space group Amm2 (No. 38)
Unique sites:
Ho 0.0000 0.0000 0.0000 x2
Tm 0.5000 0.0000 0.2106 x2
Si 0.0000 0.0000 0.3550 x2
Si 0.0000 0.0000 0.6450 x2
Si 0.5000 0.0000 0.5657 x2
Si 0.5000 0.0000 0.8547 x2
Ni 0.0000 0.0000 0.7818 x2
Ni 0.5000 0.0000 0.4281 x2

=====

(7)
Computed, not measured: a relaxed Ag2BPd crystal at the PBE-GGA level of DFT.

Properties
Calculated density, g/cm3: 9.5
Uncorrected energy, hartree per atom: -0.1355

Cell lengths 6.1559, 6.1559, 6.1559 Å; angles 90.00, 90.00, 90.00 degrees
Space group F-43m (No. 216)
Unique sites:
Ag 0.0000 0.0000 0.0000 x4
Ag 0.2500 0.2500 0.2500 x4
B 0.0000 0.0000 0.5000 x4
Pd 0.2500 0.2500 0.7500 x4

=====

(8)
Computed, not measured: a relaxed Gd2ErZn3CdIn2 crystal at the PBE-GGA level of DFT.

Properties
Calculated density, g/cm3: 8.3
Magnetic moment, μB/f.u.: 0.003
Uncorrected energy, hartree per atom: -0.1117

Cell lengths 4.5870, 12.3792, 7.2226 Å; angles 90.00, 90.00, 90.00 degrees
Space group Amm2 (No. 38)
Unique sites:
Gd 0.0000 0.2138 0.0000 x4
Er 0.0000 0.0000 0.3556 x2
Zn 0.5000 0.0000 0.0170 x2
Zn 0.5000 0.1172 0.6673 x4
Cd 0.0000 0.0000 0.7790 x2
In 0.5000 0.1651 0.2855 x4